No. 1
Material: Al2VOs
Method: DFT, PBE
State: optimized geometry

## Properties
* density: 7.83 g cm⁻³
* SG: I-42d (122)
* magnetization: 0.0 μB/f.u.
* E above lowest polymorph: 541 meV/atom
* energy relative to the elements: 23 kJ per mole of atoms
* total DFT energy (no corrections): -0.2470 hartree per atom

Cell: 9.571 9.571 9.571 Å, 157.79 157.79 31.61°
Element x y z (fractional)
Al (0.122, 0.625, 0.997)
Al (0.375, 0.372, 0.497)
Al (0.628, 0.125, 0.003)
Al (0.875, 0.878, 0.503)
V (0.000, 0.000, 0.000)
V (0.750, 0.250, 0.500)
Os (0.250, 0.750, 0.500)
Os (0.500, 0.500, 0.000)


No. 2
Material: FeTc2Cl
Method: DFT, PBE
State: optimized geometry

## Properties
* density: 8.34 g cm⁻³
* formation energy from raw total energies: 1.980 eV per formula unit
* SG: Pm (6)
* magnetization: 2.5 μB/f.u.
* E above lowest polymorph: 250 meV/atom
* total DFT energy (no corrections): -0.2670 hartree per atom

Cell: 2.851 3.902 5.337 Å, 90.00 105.43 90.00°
Element x y z (fractional)
Fe (0.000, 0.000, 0.000)
Tc (0.237, 0.000, 0.480)
Tc (0.613, 0.500, 0.231)
Cl (0.383, 0.500, 0.776)


| no. | density of states at the Fermi level (states/eV/cell) |
| --- | --- |
| 1 | 6.12 |
| 2 | 3.53 |